Arrangement a

## Mn3OF5 (SCAN)

Data for a PBEsol-optimized structure of Mn3OF5.

## Properties
* calculated volume: 12.2 Å³/atom

Cell: 9.2082 6.9201 7.3203 Å, 90.00 110.25 90.00°
Space group Cm (No. 8)
Symmetry-distinct sites (fractional):
1 Mn 0.0000 0.0000 0.0000 [2 per cell]
2 Mn 0.0028 0.0000 0.5215 [2 per cell]
3 Mn 0.1448 0.5000 0.1781 [2 per cell]
4 Mn 0.1590 0.5000 0.6784 [2 per cell]
5 Mn 0.3169 0.0000 0.8562 [2 per cell]
6 Mn 0.3334 0.0000 0.3299 [2 per cell]
7 O 0.1048 0.0000 0.8098 [2 per cell]
8 O 0.4169 0.0000 0.1265 [2 per cell]
9 F 0.0383 0.5000 0.8643 [2 per cell]
10 F 0.1585 0.1976 0.1857 [4 per cell]
11 F 0.2470 0.0000 0.5544 [2 per cell]
12 F 0.2663 0.5000 0.4751 [2 per cell]
13 F 0.3291 0.3083 0.8396 [4 per cell]
14 F 0.3906 0.5000 0.2084 [2 per cell]
15 F 0.4972 0.1988 0.4976 [4 per cell]



Arrangement b

## Mn3OF5 (SCAN)

Data for a PBEsol-optimized structure of Mn3OF5.

## Properties
* calculated volume: 12.1 Å³/atom

Cell: 5.7514 5.7574 7.4096 Å, 73.67 73.21 71.12°
Space group P1 (No. 1)
Symmetry-distinct sites (fractional):
1 Mn 0.0000 0.0000 0.0000 [1 per cell]
2 Mn 0.0122 0.0305 0.5001 [1 per cell]
3 Mn 0.3202 0.3381 0.1808 [1 per cell]
4 Mn 0.3635 0.3595 0.6745 [1 per cell]
5 Mn 0.6803 0.6565 0.8246 [1 per cell]
6 Mn 0.7029 0.6419 0.3526 [1 per cell]
7 O 0.5972 0.5600 0.6247 [1 per cell]
8 O 0.9888 0.3656 0.3388 [1 per cell]
9 F 0.0538 0.6696 0.6730 [1 per cell]
10 F 0.1241 0.1363 0.7009 [1 per cell]
11 F 0.2291 0.2419 0.9747 [1 per cell]
12 F 0.3125 0.7006 0.9949 [1 per cell]
13 F 0.4022 0.9472 0.3376 [1 per cell]
14 F 0.4429 0.4247 0.3718 [1 per cell]
15 F 0.6498 0.0329 0.6872 [1 per cell]
16 F 0.6802 0.2967 0.0104 [1 per cell]
17 F 0.7747 0.7428 0.0527 [1 per cell]
18 F 0.9205 0.9048 0.3023 [1 per cell]



Least stable of them? arrangement a.



Arrangement a

## Mn4O7F (SCAN)

Data for a PBEsol-optimized structure of Mn4O7F.

## Properties
* calculated volume: 9.4 Å³/atom

Cell: 4.3473 10.7316 4.8367 Å, 90.00 90.41 90.00°
Space group Pc (No. 7)
Symmetry-distinct sites (fractional):
1 Mn 0.0000 0.0663 0.0000 [2 per cell]
2 Mn 0.0258 0.4253 0.4917 [2 per cell]
3 Mn 0.5228 0.1793 0.4723 [2 per cell]
4 Mn 0.5331 0.3330 0.9913 [2 per cell]
5 O 0.2413 0.0576 0.3208 [2 per cell]
6 O 0.2564 0.4433 0.8220 [2 per cell]
7 O 0.2888 0.3082 0.3135 [2 per cell]
8 O 0.7469 0.1920 0.1535 [2 per cell]
9 O 0.7517 0.3072 0.6599 [2 per cell]
10 O 0.7726 0.0581 0.6617 [2 per cell]
11 O 0.7933 0.4445 0.1622 [2 per cell]
12 F 0.2710 0.1904 0.8188 [2 per cell]



Arrangement b

## Mn4O7F (SCAN)

Data for a PBEsol-optimized structure of Mn4O7F.

## Properties
* calculated volume: 9.1 Å³/atom

Cell: 9.6132 10.6421 4.2857 Å, 90.00 90.63 90.00°
Space group C2 (No. 5)
Symmetry-distinct sites (fractional):
1 Mn 0.0000 0.0000 0.0000 [2 per cell]
2 Mn 0.0000 0.2461 0.5000 [2 per cell]
3 Mn 0.0000 0.4950 0.0000 [2 per cell]
4 Mn 0.0000 0.7486 0.5000 [2 per cell]
5 Mn 0.2439 0.6351 0.0237 [4 per cell]
6 Mn 0.2435 0.8971 0.4830 [4 per cell]
7 O 0.0842 0.6257 0.7686 [4 per cell]
8 O 0.0838 0.8812 0.7301 [4 per cell]
9 O 0.0864 0.1280 0.7633 [4 per cell]
10 O 0.0884 0.3785 0.7308 [4 per cell]
11 O 0.1643 0.5094 0.2420 [4 per cell]
12 O 0.1645 0.7603 0.2738 [4 per cell]
13 O 0.1666 0.0150 0.2276 [4 per cell]
14 F 0.1761 0.2633 0.2363 [4 per cell]



Least stable of them? arrangement a.



Arrangement a

## MnTe2F (SCAN)

Data for a PBEsol-optimized structure of MnTe2F.

## Properties
* calculated volume: 24.0 Å³/atom

Cell: 3.8896 3.8896 21.9785 Å, 90.00 90.00 120.00°
Space group R-3m (No. 166, hexagonal axes)
Symmetry-distinct sites (fractional):
1 Mn 0.0000 0.0000 0.0000 [3 per cell]
2 Te 0.0000 0.0000 0.3956 [6 per cell]
3 F 0.0000 0.0000 0.5000 [3 per cell]



Arrangement b

## MnTe2F (SCAN)

Data for a PBEsol-optimized structure of MnTe2F.

## Properties
* calculated volume: 17.6 Å³/atom

Cell: 6.5562 6.5562 6.5562 Å, 90.00 90.00 90.00°
Space group Fm-3m (No. 225)
Symmetry-distinct sites (fractional):
1 Mn 0.0000 0.0000 0.0000 [4 per cell]
2 Te 0.2500 0.2500 0.2500 [8 per cell]
3 F 0.0000 0.0000 0.5000 [4 per cell]



Least stable of them? arrangement b.



Arrangement a

## MoF6 (SCAN)

Data for a PBEsol-optimized structure of MoF6.

## Properties
* calculated volume: 19.1 Å³/atom

Cell: 6.4442 6.4442 6.4442 Å, 90.00 90.00 90.00°
Space group Im-3m (No. 229)
Symmetry-distinct sites (fractional):
1 Mo 0.0000 0.0000 0.0000 [2 per cell]
2 F 0.0000 0.0000 0.2842 [12 per cell]



Arrangement b

## MoF6 (SCAN)

Data for a PBEsol-optimized structure of MoF6.

## Properties
* calculated volume: 15.1 Å³/atom

Cell: 9.6362 8.7242 5.0235 Å, 90.00 90.00 90.00°
Space group Pnma (No. 62)
Symmetry-distinct sites (fractional):
1 Mo 0.1282 0.2500 0.0760 [4 per cell]
2 F 0.0129 0.2500 0.7864 [4 per cell]
3 F 0.0214 0.1017 0.2334 [8 per cell]
4 F 0.2350 0.1013 0.9199 [8 per cell]
5 F 0.2440 0.2500 0.3660 [4 per cell]



Least stable of them? arrangement a.



Arrangement a

## NbSN2F (SCAN)

Data for a PBEsol-optimized structure of NbSN2F.

## Properties
* calculated volume: 13.3 Å³/atom

Cell: 4.0878 4.0878 3.9781 Å, 90.00 90.00 90.00°
Space group P4/mmm (No. 123)
Symmetry-distinct sites (fractional):
1 Nb 0.0000 0.0000 0.0000 [1 per cell]
2 S 0.5000 0.5000 0.5000 [1 per cell]
3 N 0.0000 0.5000 0.0000 [2 per cell]
4 F 0.0000 0.0000 0.5000 [1 per cell]



Arrangement b

## NbSN2F (SCAN)

Data for a PBEsol-optimized structure of NbSN2F.

## Properties
* calculated volume: 15.7 Å³/atom

Cell: 3.9883 3.9883 4.9207 Å, 90.00 90.00 90.00°
Space group P4/mmm (No. 123)
Symmetry-distinct sites (fractional):
1 Nb 0.0000 0.0000 0.0000 [1 per cell]
2 S 0.0000 0.0000 0.5000 [1 per cell]
3 N 0.0000 0.5000 0.0000 [2 per cell]
4 F 0.5000 0.5000 0.5000 [1 per cell]



Least stable of them? arrangement b.



Arrangement a

## PSN2F (SCAN)

Data for a PBEsol-optimized structure of PSN2F.

## Properties
* calculated volume: 9.2 Å³/atom

Cell: 3.5709 3.5709 3.5940 Å, 90.00 90.00 90.00°
Space group P4/mmm (No. 123)
Symmetry-distinct sites (fractional):
1 P 0.0000 0.0000 0.0000 [1 per cell]
2 S 0.5000 0.5000 0.5000 [1 per cell]
3 N 0.0000 0.5000 0.0000 [2 per cell]
4 F 0.0000 0.0000 0.5000 [1 per cell]



Arrangement b

## PSN2F (SCAN)

Data for a PBEsol-optimized structure of PSN2F.

## Properties
* calculated volume: 14.4 Å³/atom

Cell: 3.5388 3.5388 5.7546 Å, 90.00 90.00 90.00°
Space group P4/mmm (No. 123)
Symmetry-distinct sites (fractional):
1 P 0.0000 0.0000 0.0000 [1 per cell]
2 S 0.5000 0.5000 0.0000 [1 per cell]
3 N 0.0000 0.5000 0.5000 [2 per cell]
4 F 0.5000 0.5000 0.5000 [1 per cell]



Least stable of them? arrangement b.



Arrangement a

## PdSN2F (SCAN)

Data for a PBEsol-optimized structure of PdSN2F.

## Properties
* calculated volume: 10.1 Å³/atom

Cell: 3.5874 3.5874 3.9306 Å, 90.00 90.00 90.00°
Space group P4/mmm (No. 123)
Symmetry-distinct sites (fractional):
1 Pd 0.0000 0.0000 0.0000 [1 per cell]
2 S 0.5000 0.5000 0.5000 [1 per cell]
3 N 0.0000 0.5000 0.5000 [2 per cell]
4 F 0.5000 0.5000 0.0000 [1 per cell]



Arrangement b

## PdSN2F (SCAN)

Data for a PBEsol-optimized structure of PdSN2F.

## Properties
* calculated volume: 13.8 Å³/atom

Cell: 3.5355 3.5355 5.5387 Å, 90.00 90.00 90.00°
Space group P4/mmm (No. 123)
Symmetry-distinct sites (fractional):
1 Pd 0.0000 0.0000 0.0000 [1 per cell]
2 S 0.5000 0.5000 0.0000 [1 per cell]
3 N 0.0000 0.5000 0.5000 [2 per cell]
4 F 0.5000 0.5000 0.5000 [1 per cell]



Least stable of them? arrangement b.



Arrangement a

## PtS2NF (SCAN)

Data for a PBEsol-optimized structure of PtS2NF.

## Properties
* calculated volume: 17.3 Å³/atom

Cell: 4.8905 4.8905 3.6242 Å, 90.00 90.00 90.00°
Space group P4/mmm (No. 123)
Symmetry-distinct sites (fractional):
1 Pt 0.0000 0.0000 0.0000 [1 per cell]
2 S 0.0000 0.5000 0.0000 [2 per cell]
3 N 0.0000 0.0000 0.5000 [1 per cell]
4 F 0.5000 0.5000 0.5000 [1 per cell]



Arrangement b

## PtS2NF (SCAN)

Data for a PBEsol-optimized structure of PtS2NF.

## Properties
* calculated volume: 13.7 Å³/atom

Cell: 4.3661 4.3661 3.6026 Å, 90.00 90.00 90.00°
Space group P4/mmm (No. 123)
Symmetry-distinct sites (fractional):
1 Pt 0.0000 0.0000 0.0000 [1 per cell]
2 S 0.0000 0.5000 0.5000 [2 per cell]
3 N 0.5000 0.5000 0.0000 [1 per cell]
4 F 0.5000 0.5000 0.5000 [1 per cell]



Least stable of them? arrangement b.



Arrangement a

## ScPtNF2 (SCAN)

Data for a PBEsol-optimized structure of ScPtNF2.

## Properties
* calculated volume: 13.3 Å³/atom

Cell: 3.8113 3.8113 4.5771 Å, 90.00 90.00 90.00°
Space group P4/mmm (No. 123)
Symmetry-distinct sites (fractional):
1 Sc 0.0000 0.0000 0.0000 [1 per cell]
2 Pt 0.5000 0.5000 0.5000 [1 per cell]
3 N 0.0000 0.0000 0.5000 [1 per cell]
4 F 0.0000 0.5000 0.0000 [2 per cell]



Arrangement b

## ScPtNF2 (SCAN)

Data for a PBEsol-optimized structure of ScPtNF2.

## Properties
* calculated volume: 14.8 Å³/atom

Cell: 4.4909 4.4909 3.6646 Å, 90.00 90.00 90.00°
Space group P4/mmm (No. 123)
Symmetry-distinct sites (fractional):
1 Sc 0.0000 0.0000 0.0000 [1 per cell]
2 Pt 0.5000 0.5000 0.5000 [1 per cell]
3 N 0.5000 0.5000 0.0000 [1 per cell]
4 F 0.0000 0.5000 0.5000 [2 per cell]



Least stable of them? arrangement b.



Arrangement a

## RbSiN2F (SCAN)

Data for a PBEsol-optimized structure of RbSiN2F.

## Properties
* calculated volume: 18.8 Å³/atom

Cell: 4.4746 4.4746 4.6861 Å, 90.00 90.00 90.00°
Space group P4/mmm (No. 123)
Symmetry-distinct sites (fractional):
1 Rb 0.0000 0.0000 0.0000 [1 per cell]
2 Si 0.5000 0.5000 0.5000 [1 per cell]
3 N 0.0000 0.5000 0.0000 [2 per cell]
4 F 0.0000 0.0000 0.5000 [1 per cell]



Arrangement b

## RbSiN2F (SCAN)

Data for a PBEsol-optimized structure of RbSiN2F.

## Properties
* calculated volume: 12.5 Å³/atom

Cell: 3.5266 3.5266 5.0165 Å, 90.00 90.00 90.00°
Space group P4/mmm (No. 123)
Symmetry-distinct sites (fractional):
1 Rb 0.0000 0.0000 0.0000 [1 per cell]
2 Si 0.5000 0.5000 0.5000 [1 per cell]
3 N 0.0000 0.5000 0.5000 [2 per cell]
4 F 0.5000 0.5000 0.0000 [1 per cell]



Least stable of them? arrangement a.



Arrangement a

## SnRhN2F (SCAN)

Data for a PBEsol-optimized structure of SnRhN2F.

## Properties
* calculated volume: 12.8 Å³/atom

Cell: 3.8418 3.8418 4.3490 Å, 90.00 90.00 90.00°
Space group P4/mmm (No. 123)
Symmetry-distinct sites (fractional):
1 Sn 0.0000 0.0000 0.0000 [1 per cell]
2 Rh 0.5000 0.5000 0.5000 [1 per cell]
3 N 0.0000 0.5000 0.5000 [2 per cell]
4 F 0.5000 0.5000 0.0000 [1 per cell]



Arrangement b

## SnRhN2F (SCAN)

Data for a PBEsol-optimized structure of SnRhN2F.

## Properties
* calculated volume: 13.1 Å³/atom

Cell: 4.0897 4.0897 3.9133 Å, 90.00 90.00 90.00°
Space group P4/mmm (No. 123)
Symmetry-distinct sites (fractional):
1 Sn 0.0000 0.0000 0.0000 [1 per cell]
2 Rh 0.5000 0.5000 0.5000 [1 per cell]
3 N 0.0000 0.5000 0.0000 [2 per cell]
4 F 0.0000 0.0000 0.5000 [1 per cell]



Least stable of them? arrangement b.



Arrangement a

## SbTe2NF (SCAN)

Data for a PBEsol-optimized structure of SbTe2NF.

## Properties
* calculated volume: 25.1 Å³/atom

Cell: 5.7393 5.7393 3.8171 Å, 90.00 90.00 90.00°
Space group P4/mmm (No. 123)
Symmetry-distinct sites (fractional):
1 Sb 0.0000 0.0000 0.0000 [1 per cell]
2 Te 0.0000 0.5000 0.0000 [2 per cell]
3 N 0.0000 0.0000 0.5000 [1 per cell]
4 F 0.5000 0.5000 0.5000 [1 per cell]



Arrangement b

## SbTe2NF (SCAN)

Data for a PBEsol-optimized structure of SbTe2NF.

## Properties
* calculated volume: 23.2 Å³/atom

Cell: 5.0150 5.0150 4.6117 Å, 90.00 90.00 90.00°
Space group P4/mmm (No. 123)
Symmetry-distinct sites (fractional):
1 Sb 0.0000 0.0000 0.0000 [1 per cell]
2 Te 0.0000 0.5000 0.5000 [2 per cell]
3 N 0.5000 0.5000 0.0000 [1 per cell]
4 F 0.0000 0.0000 0.5000 [1 per cell]



Least stable of them? arrangement b.